(1)
# As2RuBrCl

A relaxed structure of As2RuBrCl (PBE, the Alexandria database).

Output
* formation energy (no corrections): 1498 meV/atom
* offset from the most stable computed form: 5.94 eV per formula unit
* calculated volume: 26.7 Å³/atom

abc: 4.6900 4.6900 6.0751
angles: 90.00 90.00 90.00
With the nearest neighbours (Å) after each atom.
Positions (direct):
As: 0.0000 0.5000 0.0000  2 Cl 2.34
As: 0.5000 0.0000 0.0000  2 Cl 2.34
Ru: 0.0000 0.0000 0.5000  4 Br 3.32
Br: 0.5000 0.5000 0.5000  2 Cl 3.04, 4 Ru 3.32
Cl: 0.5000 0.5000 0.0000  4 As 2.34

---

(2)
# As2RuBrCl

A relaxed structure of As2RuBrCl (PBE, the Alexandria database).

Output
* formation energy (no corrections): 310 meV/atom
* offset from the most stable computed form: 0.00 eV per formula unit
* calculated volume: 23.6 Å³/atom

abc: 4.7678 4.7678 5.1947
angles: 90.00 90.00 90.00
With the nearest neighbours (Å) after each atom.
Positions (direct):
As: 0.0000 0.5000 0.0000  2 Ru 2.38
As: 0.5000 0.0000 0.0000  2 Ru 2.38
Ru: 0.0000 0.0000 0.0000  4 As 2.38, 2 Br 2.60
Br: 0.0000 0.0000 0.5000  2 Ru 2.60
Cl: 0.5000 0.5000 0.5000  4 Br 3.37, 8 As 3.53

---

(3)
# As2SBrCl

A relaxed structure of As2SBrCl (PBE, the Alexandria database).

Output
* formation energy (no corrections): 661 meV/atom
* offset from the most stable computed form: 0.00 eV per formula unit
* calculated volume: 25.1 Å³/atom

abc: 4.9397 4.9397 5.1370
angles: 90.00 90.00 90.00
With the nearest neighbours (Å) after each atom.
Positions (direct):
As: 0.0000 0.5000 0.0000  2 S 2.47
As: 0.5000 0.0000 0.0000  2 S 2.47
S: 0.0000 0.0000 0.0000  4 As 2.47, 2 Br 2.57
Br: 0.0000 0.0000 0.5000  2 S 2.57
Cl: 0.5000 0.5000 0.5000  4 Br 3.49, 8 As 3.56